(1)
PBE SmY7Ho12, optimized geometry; energy above the lowest structure with this stoichiometry = 423 meV per atom; E_tot = -90.240 eV for the cell shown; ΔE_f = 0.733 eV/atom; total moment = 0.00 μB/cell; Fermi-level density of states = 26.0 states/eV per cell
1.0
9.164 0.000 -3.240
-4.582 7.937 -3.240
0.000 0.000 9.720
Sm Y Ho
1 7 12
Direct
0.000 0.000 0.000
0.500 0.500 0.000
0.000 0.500 0.500
0.500 0.000 0.500
0.500 0.500 0.500
0.000 0.000 0.500
0.500 0.000 0.000
0.000 0.500 0.000
0.495 0.748 0.747
0.001 0.748 0.253
0.505 0.252 0.253
0.999 0.252 0.747
0.747 0.999 0.252
0.747 0.495 0.748
0.253 0.001 0.748
0.253 0.505 0.252
0.748 0.747 0.495
0.252 0.253 0.505
0.748 0.253 0.001
0.252 0.747 0.999

=====

(2)
PBE Mn2P, optimized geometry; E_tot = -24.515 eV for the cell shown; ΔE_f = -0.255 eV/atom; total moment = 0.00 μB/cell; Fermi-level density of states = 3.2 states/eV per cell
1.0
-2.264 -2.076 -3.493
-2.045 -4.171 -0.236
0.490 3.905 2.479
Mn P
2 1
Direct
0.346 0.346 0.000
0.654 0.654 0.000
0.000 0.000 0.000

=====

(3)
PBE Li2TmSi2, optimized geometry; E_tot = -21.410 eV for the cell shown; total moment = 0.00 μB/cell; Fermi-level density of states = 1.9 states/eV per cell
1.0
3.935 0.000 0.000
0.000 3.935 0.000
-1.968 -1.968 5.658
Li Tm Si
2 1 2
Direct
0.750 0.250 0.500
0.250 0.750 0.500
0.000 0.000 0.000
0.603 0.603 0.205
0.397 0.397 0.795

=====

(4)
PBE Zn2CrGa, optimized geometry; E_tot = -15.087 eV for the cell shown; ΔE_f = 0.028 eV/atom; total moment = 2.25 μB/cell; Fermi-level density of states = 2.6 states/eV per cell
1.0
3.958 0.000 0.000
0.000 3.791 0.000
0.000 0.000 3.791
Cr Zn Ga
1 2 1
Direct
0.500 0.500 0.500
0.000 0.000 0.500
0.000 0.500 0.000
0.500 0.000 0.000

=====

(5)
PBE ScAgI2, optimized geometry; energy above the lowest structure with this stoichiometry = 74 meV per atom; E_tot = -25.581 eV for the cell shown; total moment = 3.21 μB/cell; Fermi-level density of states = 8.0 states/eV per cell
1.0
7.156 0.000 0.000
0.000 7.156 0.000
3.578 3.578 5.839
I Sc Ag
4 2 2
Direct
0.620 0.125 0.250
0.130 0.625 0.250
0.375 0.380 0.750
0.875 0.870 0.750
0.500 0.500 0.000
0.250 0.750 0.500
0.000 0.000 0.000
0.750 0.250 0.500

=====

(6)
PBE NaUSn2, optimized geometry; E_tot = -20.925 eV for the cell shown; ΔE_f = -0.078 eV/atom; total moment = 2.37 μB/cell; Fermi-level density of states = 5.7 states/eV per cell
1.0
3.080 0.000 0.000
0.000 5.759 0.000
0.000 0.000 5.759
Na U Sn
1 1 2
Direct
0.500 0.500 0.500
0.500 0.000 0.000
0.000 0.000 0.500
0.000 0.500 0.000

=====

(7)
PBE Np2ScPaN4, optimized geometry; E_tot = -86.180 eV for the cell shown; total moment = 6.59 μB/cell; Fermi-level density of states = 13.4 states/eV per cell
1.0
3.393 0.000 0.000
0.000 5.893 -0.155
0.000 2.043 5.537
Np Sc Pa N
2 1 1 4
Direct
0.000 0.000 0.000
0.500 0.000 0.500
0.500 0.500 0.000
0.000 0.500 0.500
0.000 0.740 0.763
0.000 0.260 0.237
0.500 0.741 0.238
0.500 0.259 0.762

=====

(8)
PBE Tb3MgNp3N8, optimized geometry; E_tot = -137.724 eV for the cell shown; total moment = 7.75 μB/cell; Fermi-level density of states = 13.1 states/eV per cell
1.0
6.740 0.000 0.000
-3.370 5.838 -0.020
0.000 -3.872 5.634
Tb Mg Np N
3 1 3 8
Direct
0.000 0.000 0.000
0.000 0.500 0.000
0.500 0.500 0.000
0.000 0.000 0.500
0.500 0.000 0.500
0.500 0.500 0.500
0.000 0.500 0.500
0.250 0.501 0.251
0.750 0.499 0.749
0.763 0.525 0.287
0.237 0.475 0.713
0.763 0.025 0.287
0.237 0.975 0.713
0.262 0.025 0.287
0.738 0.975 0.713